No. 1
This record from Alexandria describes EuH2 after structural relaxation. The functional is PBEsol.

Lattice parameters (Å, degrees): 3.6262 5.8932 6.8937 90.00 90.00 90.00
Last column: nearest neighbours and their distance in Å.
Positions (direct):
Eu (0.7500, 0.2448, 0.6144)  7 H 2.28-2.53
Eu (0.2500, 0.7552, 0.3856)  7 H 2.28-2.53
Eu (0.7500, 0.7448, 0.8856)  7 H 2.28-2.53
Eu (0.2500, 0.2552, 0.1144)  7 H 2.28-2.53
H (0.7500, 0.4679, 0.3117)  5 Eu 2.47-2.59, 5 H 2.68-2.75
H (0.2500, 0.5321, 0.6883)  5 Eu 2.47-2.59, 5 H 2.68-2.75
H (0.7500, 0.9679, 0.1883)  5 Eu 2.47-2.59, 5 H 2.68-2.75
H (0.2500, 0.0321, 0.8117)  5 Eu 2.47-2.59, 5 H 2.68-2.75
H (0.2500, 0.6450, 0.0688)  4 Eu 2.28-2.32
H (0.7500, 0.3550, 0.9312)  4 Eu 2.28-2.32
H (0.2500, 0.1450, 0.4312)  4 Eu 2.28-2.32
H (0.7500, 0.8550, 0.5688)  4 Eu 2.28-2.32

Values from the calculation:
DFT total energy, eV/atom: -6.33
N(E_F), states/eV/f.u.: 2.45
Symmetry: No. 62


No. 2
This record from Alexandria describes LiLaAsBr2 after structural relaxation. The functional is PBEsol.

Lattice parameters (Å, degrees): 5.5343 5.7911 5.7911 90.00 90.00 90.00
Last column: nearest neighbours and their distance in Å.
Positions (direct):
As (0.5000, 0.0000, 0.0000)  2 La 2.77
Li (0.5000, 0.5000, 0.5000)  8 Br 4.01, 4 As 4.09
Br (0.0000, 0.0000, 0.5000)  2 La 2.90
Br (0.0000, 0.5000, 0.0000)  2 La 2.90
La (0.0000, 0.0000, 0.0000)  2 As 2.77, 4 Br 2.90

Values from the calculation:
DFT total energy, eV/atom: -4.07
N(E_F), states/eV/f.u.: 5.31
Uncorrected formation energy, kJ/mol of formula units: -404
Symmetry: No. 123


No. 3
This record from Alexandria describes NpGa5Fe after structural relaxation. The functional is PBEsol.

Lattice parameters (Å, degrees): 4.2031 4.2031 6.5759 90.00 90.00 90.00
Last column: nearest neighbours and their distance in Å.
Positions (direct):
Np (0.0000, 0.0000, 0.0000)  12 Ga 2.91-2.97
Fe (0.0000, 0.0000, 0.5000)  8 Ga 2.45
Ga (0.0000, 0.5000, 0.3071)  2 Fe 2.45, 1 Ga 2.54
Ga (0.0000, 0.5000, 0.6929)  2 Fe 2.45, 1 Ga 2.54
Ga (0.5000, 0.0000, 0.3071)  2 Fe 2.45, 1 Ga 2.54
Ga (0.5000, 0.0000, 0.6929)  2 Fe 2.45, 1 Ga 2.54
Ga (0.5000, 0.5000, 0.0000)  8 Ga 2.91, 4 Np 2.97

Values from the calculation:
DFT total energy, eV/atom: -5.86
Formation energy, meV/atom: -219.1
N(E_F), states/eV/f.u.: 7.45
Symmetry: No. 123


No. 4
This record from Alexandria describes AlCr2Ag after structural relaxation. The functional is PBEsol.

Lattice parameters (Å, degrees): 3.1262 3.9659 4.9202 110.75 108.52 90.00
Last column: nearest neighbours and their distance in Å.
Positions (direct):
Cr (0.2459, 0.2059, 0.4918)  2 Cr 2.28
Cr (0.7541, 0.7941, 0.5082)  2 Cr 2.28
Al (0.5000, 0.0000, 0.0000)  4 Ag 2.52, 6 Cr 2.64-2.78
Ag (0.0000, 0.5000, 0.0000)  4 Al 2.52, 4 Cr 2.71

Values from the calculation:
DFT total energy, eV/atom: -6.69
Formation energy, meV/atom: 284.5
N(E_F), states/eV/f.u.: 2.47
Symmetry: No. 12


No. 5
This record from Alexandria describes IrW2Au after structural relaxation. The functional is PBEsol.

Lattice parameters (Å, degrees): 2.7521 2.7521 8.1119 90.00 90.00 90.00
Last column: nearest neighbours and their distance in Å.
Positions (direct):
Au (0.5000, 0.5000, 0.0000)  4 Au 2.75, 8 W 2.88
Ir (0.5000, 0.5000, 0.5000)  8 W 2.75, 4 Ir 2.75
W (0.0000, 0.0000, 0.7389)  4 Ir 2.75, 4 W 2.75, 4 Au 2.88
W (0.0000, 0.0000, 0.2611)  4 Ir 2.75, 4 W 2.75, 4 Au 2.88

Values from the calculation:
Distance to the lowest polymorph of the same formula, eV/atom: 0.000
DFT total energy, eV/atom: -10.27
Formation energy, meV/atom: 73.6
N(E_F), states/eV/f.u.: 3.14
Symmetry: No. 123


No. 6
This record from Alexandria describes Te3Rh after structural relaxation. The functional is PBEsol.

Lattice parameters (Å, degrees): 4.4945 4.4945 4.4945 90.00 90.00 90.00
Last column: nearest neighbours and their distance in Å.
Positions (direct):
Rh (0.0000, 0.0000, 0.0000)  12 Te 3.18
Te (0.0000, 0.5000, 0.5000)  8 Te 3.18, 4 Rh 3.18
Te (0.5000, 0.0000, 0.5000)  8 Te 3.18, 4 Rh 3.18
Te (0.5000, 0.5000, 0.0000)  8 Te 3.18, 4 Rh 3.18

Values from the calculation:
DFT total energy, eV/atom: -4.12
N(E_F), states/eV/f.u.: 3.86
Uncorrected formation energy, kJ/mol of formula units: 216
Symmetry: No. 221


No. 7
This record from Alexandria describes SiTc2Ni after structural relaxation. The functional is PBEsol.

Lattice parameters (Å, degrees): 2.9271 4.1453 4.8010 115.58 107.75 90.00
Last column: nearest neighbours and their distance in Å.
Positions (direct):
Ni (0.5246, 0.0246, 0.0491)  2 Si 2.27
Si (0.2379, 0.2379, 0.4759)  2 Ni 2.27, 6 Tc 2.48-2.54
Tc (0.9842, 0.4842, 0.9683)  2 Si 2.48, 4 Ni 2.56, 2 Tc 2.64
Tc (0.7533, 0.7533, 0.5067)  4 Si 2.54, 4 Tc 2.64-2.80, 4 Ni 2.65-2.79

Values from the calculation:
DFT total energy, eV/atom: -8.96
N(E_F), states/eV/f.u.: 2.29
Uncorrected formation energy, kJ/mol of formula units: -137
Symmetry: No. 44


No. 8
This record from Alexandria describes Sb2Te3 after structural relaxation. The functional is PBEsol.

Lattice parameters (Å, degrees): 4.2749 4.2749 10.2411 77.95 77.95 60.00
Last column: nearest neighbours and their distance in Å.
Positions (direct):
Sb (0.3988, 0.3988, 0.8035)  6 Te 3.00-3.15
Sb (0.6012, 0.6012, 0.1965)  6 Te 3.00-3.15
Te (0.2105, 0.2105, 0.3684)  3 Sb 3.00
Te (0.7895, 0.7895, 0.6316)  3 Sb 3.00
Te (0.0000, 0.0000, 0.0000)  6 Sb 3.15

Values from the calculation:
DFT total energy, eV/atom: -4.06
N(E_F), states/eV/f.u.: 0.01
Uncorrected formation energy, kJ/mol of formula units: -60
Symmetry: No. 166


No. 9
This record from Alexandria describes Ag2HgMo after structural relaxation. The functional is PBEsol.

Lattice parameters (Å, degrees): 2.6877 5.2887 5.2887 113.77 90.00 90.00
Last column: nearest neighbours and their distance in Å.
Positions (direct):
Ag (0.0000, 0.5000, 0.0000)  4 Ag 2.69-2.89, 4 Mo 2.97, 4 Hg 2.97
Ag (0.0000, 0.0000, 0.5000)  4 Ag 2.69-2.89, 4 Hg 2.97, 4 Mo 2.97
Hg (0.5000, 0.0000, 0.0000)  2 Hg 2.69, 2 Mo 2.89, 8 Ag 2.97
Mo (0.5000, 0.5000, 0.5000)  2 Mo 2.69, 2 Hg 2.89, 8 Ag 2.97

Values from the calculation:
DFT total energy, eV/atom: -4.24
Formation energy, meV/atom: 498.5
N(E_F), states/eV/f.u.: 3.96
Symmetry: No. 65


No. 10
This record from Alexandria describes SrTlCl3 after structural relaxation. The functional is PBEsol.

Lattice parameters (Å, degrees): 5.5489 5.5489 5.5489 90.00 90.00 90.00
Last column: nearest neighbours and their distance in Å.
Positions (direct):
Sr (0.0000, 0.0000, 0.0000)  6 Cl 2.77
Tl (0.5000, 0.5000, 0.5000)  12 Cl 3.92
Cl (0.0000, 0.5000, 0.0000)  2 Sr 2.77
Cl (0.0000, 0.0000, 0.5000)  2 Sr 2.77
Cl (0.5000, 0.0000, 0.0000)  2 Sr 2.77

Values from the calculation:
DFT total energy, eV/atom: -3.83
N(E_F), states/eV/f.u.: 0.00
Uncorrected formation energy, kJ/mol of formula units: -833
Symmetry: No. 221


No. 11
This record from Alexandria describes La3TcSn after structural relaxation. The functional is PBEsol.

Lattice parameters (Å, degrees): 5.3318 5.3318 5.3318 90.00 90.00 90.00
Last column: nearest neighbours and their distance in Å.
Positions (direct):
Tc (0.0000, 0.0000, 0.0000)  6 La 2.67
Sn (0.5000, 0.5000, 0.5000)  12 La 3.77
La (0.0000, 0.5000, 0.0000)  2 Tc 2.67
La (0.0000, 0.0000, 0.5000)  2 Tc 2.67
La (0.5000, 0.0000, 0.0000)  2 Tc 2.67

Values from the calculation:
DFT total energy, eV/atom: -6.58
Formation energy, meV/atom: -262.1
N(E_F), states/eV/f.u.: 4.21
Symmetry: No. 221


No. 12
This record from Alexandria describes Zr2Cr3Fe after structural relaxation. The functional is PBEsol.

Lattice parameters (Å, degrees): 4.9370 4.9370 7.9340 90.00 90.00 118.29
Last column: nearest neighbours and their distance in Å.
Positions (direct):
Zr (0.3356, 0.6644, 0.6846)  4 Fe 2.87, 8 Cr 2.88-2.93, 4 Zr 2.93-3.07
Zr (0.6678, 0.3322, 0.8085)  10 Cr 2.78-2.95, 2 Fe 2.84, 4 Zr 2.98-3.07
Zr (0.6678, 0.3322, 0.1915)  10 Cr 2.78-2.95, 2 Fe 2.84, 4 Zr 2.98-3.07
Zr (0.3356, 0.6644, 0.3154)  4 Fe 2.87, 8 Cr 2.88-2.93, 4 Zr 2.93-3.07
Cr (0.8225, 0.1775, 0.5000)  4 Fe 2.38-2.56, 2 Cr 2.42
Cr (0.6661, 0.8327, 0.0000)  6 Cr 2.47-2.54
Cr (0.1673, 0.3339, 0.0000)  6 Cr 2.47-2.54
Cr (0.1667, 0.8333, 0.0000)  6 Cr 2.47-2.51
Cr (0.0002, 0.9998, 0.2610)  2 Fe 2.39, 4 Cr 2.42-2.53
Cr (0.0002, 0.9998, 0.7390)  2 Fe 2.39, 4 Cr 2.42-2.53
Fe (0.3356, 0.1652, 0.5000)  4 Cr 2.38-2.56, 2 Fe 2.53-2.54
Fe (0.8348, 0.6644, 0.5000)  4 Cr 2.38-2.56, 2 Fe 2.53-2.54

Values from the calculation:
DFT total energy, eV/atom: -9.72
Formation energy, meV/atom: -80.1
N(E_F), states/eV/f.u.: 5.25
Symmetry: No. 38